Record 1
The following is a DFT calculation (PBE-GGA) of an optimized crystal structure of PtSe2.

Values from the calculation:
DFT total energy (Ry per atom): -0.2973
Magnetic moment (μB/atom): 0.00
Space-group type: I4/mmm
Raw formation energy (eV/f.u.): 0.88
Density of states at the Fermi level (states/eV per cell): 2.52

abc: 6.5836 6.5836 6.5836
angles: 152.60 152.60 39.14
Positions (direct):
Se  0.1330  0.1330  0.0000
Se  0.8670  0.8670  0.0000
Pt  0.5000  0.5000  0.0000

=====

Record 2
The following is a DFT calculation (PBE-GGA) of an optimized crystal structure of PtSe3.

Values from the calculation:
DFT total energy (Ry per atom): -0.3100
Magnetic moment (μB/atom): 0.00
Space-group type: C2/m
Raw formation energy (eV/f.u.): -0.38
Distance to the lowest polymorph of the same formula (meV per atom): 16
Density of states at the Fermi level (states/eV per cell): 2.51

abc: 3.8590 3.8590 7.8930
angles: 103.71 103.71 59.88
Positions (direct):
Pt  0.0000  0.0000  0.0000
Se  0.5000  0.5000  0.5000
Se  0.3881  0.3881  0.1689
Se  0.6119  0.6119  0.8311

=====

Record 3
The following is a DFT calculation (PBE-GGA) of an optimized crystal structure of Pt4Se5.

Values from the calculation:
DFT total energy (Ry per atom): -0.3088
Magnetic moment (μB/atom): 0.00
Space-group type: I4/mmm
Raw formation energy (eV/f.u.): 3.78
Distance to the lowest polymorph of the same formula (meV per atom): 314
Density of states at the Fermi level (states/eV per cell): 7.08

abc: 7.3642 7.3642 7.3642
angles: 92.43 92.43 156.23
Positions (direct):
Pt  0.0000  0.6687  0.6687
Pt  0.0000  0.3313  0.3313
Pt  0.6687  0.0000  0.6687
Pt  0.3313  0.0000  0.3313
Se  0.0000  0.0000  0.0000
Se  0.6642  0.6642  0.3285
Se  0.3358  0.3358  0.6715
Se  0.6642  0.3358  0.0000
Se  0.3358  0.6642  0.0000

=====

Record 4
The following is a DFT calculation (PBE-GGA) of an optimized crystal structure of PtSe.

Values from the calculation:
DFT total energy (Ry per atom): -0.3567
Magnetic moment (μB/atom): 0.00
Space-group type: P2_12_12_1
Raw formation energy (eV/f.u.): -0.18
Density of states at the Fermi level (states/eV per cell): 7.86

abc: 8.0627 6.1909 7.3249
angles: 90.00 90.00 90.00
Positions (direct):
Pt  0.1765  0.0834  0.3066
Pt  0.7284  0.2058  0.0207
Pt  0.8235  0.5834  0.1934
Pt  0.2284  0.2942  0.9793
Pt  0.6765  0.4166  0.6934
Pt  0.2716  0.7058  0.4793
Pt  0.7716  0.7942  0.5207
Pt  0.3235  0.9166  0.8066
Se  0.9276  0.4635  0.8843
Se  0.1265  0.4778  0.2610
Se  0.4276  0.0365  0.1157
Se  0.3735  0.5222  0.7610
Se  0.8735  0.9778  0.2390
Se  0.0724  0.9635  0.6157
Se  0.5724  0.5365  0.3843
Se  0.6265  0.0222  0.7390

=====

- Which formula does entry 2 have?
  PtSe3

=====

- What is the raw formation energy in the fourth record?
  -0.18 eV/f.u.